No. 1
This record from Alexandria describes Co2PS after structural relaxation. The functional is GGA-PBE.

For the uncorrected formation energy, the calculation gives -1.00 eV/f.u.

It has space group I-42d (No. 122), with a = 4.9793 Å, b = 4.9793 Å, c = 9.8699 Å, α = 90.00°, β = 90.00° and γ = 90.00°. The inequivalent atoms are Co at (0.2464, 0.2500, 0.1250), P at (0.0000, 0.0000, 0.5000) and S at (0.0000, 0.0000, 0.0000).


No. 2
This record from Alexandria describes Rb2LiAu2I6 after structural relaxation. The functional is GGA-PBE.

For the uncorrected formation energy, the calculation gives -8.04 eV/f.u.

It has space group C2/m (No. 12), with a = 15.9262 Å, b = 7.7169 Å, c = 9.1406 Å, α = 90.00°, β = 122.65° and γ = 90.00°. The inequivalent atoms are Rb at (0.2280, 0.0000, 0.2258), Li at (0.0000, 0.0000, 0.5000), Au at (0.0622, 0.5000, 0.2637), I at (0.0646, 0.2367, 0.7865) and I at (0.2483, 0.5000, 0.3445).


No. 3
This record from Alexandria describes Ac3NdS4 after structural relaxation. The functional is GGA-PBE.

For the uncorrected formation energy, the calculation gives -15.86 eV/f.u. The value obtained for the energy above the most stable polymorph in this dataset is 0.54 kcal/mol of atoms.

It has space group Pm-3m (No. 221), with a = 6.0183 Å, b = 6.0183 Å, c = 6.0183 Å, α = 90.00°, β = 90.00° and γ = 90.00°. The inequivalent atoms are Ac at (0.0000, 0.0000, 0.5000), Nd at (0.5000, 0.5000, 0.5000), S at (0.0000, 0.0000, 0.0000) and S at (0.0000, 0.5000, 0.5000).


No. 4
This record from Alexandria describes Pr3Mg2Pb3 after structural relaxation. The functional is GGA-PBE.

The value obtained for the formation energy is -8.8 kcal/mol of atoms.

It has space group Immm (No. 71), with a = 4.5156 Å, b = 4.8537 Å, c = 21.4197 Å, α = 90.00°, β = 90.00° and γ = 90.00°. The inequivalent atoms are Pr at (0.0000, 0.0000, 0.0000), Pr at (0.0000, 0.5000, 0.1264), Mg at (0.0000, 0.0000, 0.2498), Pb at (0.0000, 0.0000, 0.5000) and Pb at (0.0000, 0.5000, 0.3510).


No. 5
This record from Alexandria describes KTl2TeO6 after structural relaxation. The functional is GGA-PBE.

For the uncorrected formation energy, the calculation gives -9.81 eV/f.u.

It has space group R3 (No. 146, hexagonal axes), with a = 5.8308 Å, b = 5.8308 Å, c = 16.5732 Å, α = 90.00°, β = 90.00° and γ = 120.00°. The inequivalent atoms are K at (0.0000, 0.0000, 0.0000), Tl at (0.0000, 0.0000, 0.2082), Tl at (0.0000, 0.0000, 0.7318), Te at (0.0000, 0.0000, 0.5253), O at (0.0580, 0.3682, 0.1265) and O at (0.0890, 0.7047, 0.2658).


No. 6
This record from Alexandria describes Pr4Ho4Er after structural relaxation. The functional is GGA-PBE.

The value obtained for the formation energy is 0.5 kcal/mol of atoms. The value obtained for the energy above the most stable polymorph in this dataset is 0.00 kcal/mol of atoms.

It has space group I4/mmm (No. 139), with a = 10.8346 Å, b = 10.8346 Å, c = 5.0790 Å, α = 90.00°, β = 90.00° and γ = 90.00°. The inequivalent atoms are Pr at (0.1664, 0.1664, 0.0000), Ho at (0.0000, 0.3354, 0.5000) and Er at (0.0000, 0.0000, 0.5000).


No. 7
This record from Alexandria describes La2SCl after structural relaxation. The functional is GGA-PBE.

For the uncorrected formation energy, the calculation gives -7.05 eV/f.u. The value obtained for the energy above the most stable polymorph in this dataset is 2.80 kcal/mol of atoms.

It has space group Pmmn (No. 59, origin choice 2), with a = 3.7969 Å, b = 8.1762 Å, c = 6.5926 Å, α = 90.00°, β = 90.00° and γ = 90.00°. The inequivalent atoms are La at (0.2500, 0.0047, 0.2392), S at (0.2500, 0.7500, 0.9192) and Cl at (0.2500, 0.2500, 0.5857).


No. 8
This record from Alexandria describes AcMgAlAg6 after structural relaxation. The functional is GGA-PBE.

The value obtained for the formation energy is 0.5 kcal/mol of atoms.

It has space group Imma (No. 74), with a = 7.2549 Å, b = 9.1704 Å, c = 12.1456 Å, α = 90.00°, β = 90.00° and γ = 90.00°. The inequivalent atoms are Ac at (0.0000, 0.2500, 0.2078), Mg at (0.2500, 0.2500, 0.7500), Al at (0.0000, 0.0000, 0.0000), Ag at (0.0000, 0.2500, 0.4973), Ag at (0.0000, 0.2500, 0.9160) and Ag at (0.1943, 0.0025, 0.6205).


No. 9
This record from Alexandria describes KSbPdI2 after structural relaxation. The functional is GGA-PBE.

For the uncorrected formation energy, the calculation gives 3.87 eV/f.u. The value obtained for the energy above the most stable polymorph in this dataset is 26.18 kcal/mol of atoms.

It has space group P4/mmm (No. 123), with a = 6.4178 Å, b = 6.4178 Å, c = 6.5876 Å, α = 90.00°, β = 90.00° and γ = 90.00°. The inequivalent atoms are K at (0.0000, 0.0000, 0.0000), Sb at (0.0000, 0.0000, 0.5000), Pd at (0.5000, 0.5000, 0.5000) and I at (0.0000, 0.5000, 0.0000).


No. 10
This record from Alexandria describes Sc6Cd2NO after structural relaxation. The functional is GGA-PBE.

For the uncorrected formation energy, the calculation gives -12.12 eV/f.u.

It has space group Fm-3m (No. 225), with a = 8.9333 Å, b = 8.9333 Å, c = 8.9333 Å, α = 90.00°, β = 90.00° and γ = 90.00°. The inequivalent atoms are Sc at (0.0000, 0.0000, 0.2475), Cd at (0.2500, 0.2500, 0.2500), N at (0.0000, 0.0000, 0.0000) and O at (0.0000, 0.0000, 0.5000).


No. 11
This record from Alexandria describes SrAc2Tl4 after structural relaxation. The functional is GGA-PBE.

The value obtained for the formation energy is -5.5 kcal/mol of atoms.

It has space group R-3m (No. 166, hexagonal axes), with a = 5.6736 Å, b = 5.6736 Å, c = 28.2317 Å, α = 90.00°, β = 90.00° and γ = 120.00°. The inequivalent atoms are Sr at (0.0000, 0.0000, 0.0000), Ac at (0.0000, 0.0000, 0.2450), Tl at (0.0000, 0.0000, 0.1259) and Tl at (0.0000, 0.0000, 0.3800).


No. 12
This record from Alexandria describes CePm2Os2 after structural relaxation. The functional is GGA-PBE.

The value obtained for the formation energy is -4.2 kcal/mol of atoms. The value obtained for the energy above the most stable polymorph in this dataset is 0.00 kcal/mol of atoms.

It has space group Immm (No. 71), with a = 4.3428 Å, b = 5.8269 Å, c = 9.5003 Å, α = 90.00°, β = 90.00° and γ = 90.00°. The inequivalent atoms are Ce at (0.0000, 0.0000, 0.0000), Pm at (0.0000, 0.5000, 0.1957) and Os at (0.0000, 0.2312, 0.5000).


Number 1: volume 15.29 Å³ per atom. Number 2: volume 42.99 Å³ per atom. Number 3: volume 27.25 Å³ per atom. Number 4: volume 29.34 Å³ per atom. Number 5: volume 16.27 Å³ per atom. Number 6: volume 33.12 Å³ per atom. Number 7: volume 25.58 Å³ per atom. Number 8: volume 22.45 Å³ per atom. Number 9: volume 54.27 Å³ per atom. Number 10: volume 17.82 Å³ per atom. Number 11: volume 37.48 Å³ per atom. Number 12: volume 24.04 Å³ per atom.